No. 1
A geometry-optimized Hf3CdC structure. Source: Alexandria via LeMat-Bulk, functional GGA-PBE.

Values from the calculation:
energy above the most stable polymorph in this dataset	1.354	eV/f.u.
magnetization	0.0	μB per formula unit
calculated density	11.78	g/cm3
SG	C2/c (15)
DFT formation energy	-0.1632	eV/atom

POSCAR file:
```
Hf3CdC
1.0
12.295 0.000 -1.461
5.498 6.558 -2.960
-5.498 6.558 2.960
C Hf Cd
4 12 4
Direct
0.922 0.571 0.613 C
0.422 0.887 0.929 C
0.078 0.429 0.387 C
0.578 0.113 0.071 C
0.431 0.064 0.107 Hf
0.726 0.204 0.324 Hf
0.702 0.157 0.996 Hf
0.274 0.796 0.676 Hf
0.569 0.936 0.893 Hf
0.202 0.504 0.343 Hf
0.931 0.393 0.436 Hf
0.774 0.824 0.704 Hf
0.798 0.496 0.657 Hf
0.298 0.843 0.004 Hf
0.069 0.607 0.564 Hf
0.226 0.176 0.296 Hf
0.750 0.443 0.943 Cd
0.250 0.557 0.057 Cd
0.250 0.813 0.313 Cd
0.750 0.187 0.687 Cd
```

No. 2
A geometry-optimized Ti2MnCr structure. Source: Alexandria via LeMat-Bulk, functional GGA-PBE.

Values from the calculation:
magnetization	2.5	μB per formula unit
calculated density	6.05	g/cm3
SG	P4/mmm (123)
DFT formation energy	-0.0797	eV/atom

POSCAR file:
```
Ti2MnCr
1.0
-1.743 1.756 1.735
-1.452 -2.447 1.018
4.025 -0.497 4.546
Cr Ti Mn
1 2 1
Direct
0.500 0.500 0.500 Cr
0.000 0.000 0.759 Ti
0.000 0.000 0.241 Ti
0.500 0.500 0.000 Mn
```

No. 3
A geometry-optimized Nd7Dy4Sc structure. Source: Alexandria via LeMat-Bulk, functional GGA-PBE.

Values from the calculation:
energy above the most stable polymorph in this dataset	0.000	eV/f.u.
magnetization	0.0	μB per formula unit
calculated density	7.14	g/cm3
SG	P-1 (2)
DFT formation energy	0.0267	eV/atom

POSCAR file:
```
Nd7Dy4Sc
1.0
7.039 -0.774 1.227
2.203 5.699 1.175
-0.047 -2.979 9.073
Nd Dy Sc
7 4 1
Direct
0.085 0.497 0.162 Nd
0.750 0.501 0.503 Nd
0.330 0.004 0.671 Nd
0.915 0.503 0.838 Nd
0.250 0.499 0.497 Nd
0.500 0.000 0.000 Nd
0.670 0.996 0.329 Nd
0.586 0.494 0.165 Dy
0.414 0.506 0.835 Dy
0.166 0.998 0.330 Dy
0.834 0.002 0.670 Dy
0.000 0.000 0.000 Sc
```

No. 4
A geometry-optimized LiCd2Rh structure. Source: Alexandria via LeMat-Bulk, functional GGA-PBE.

Values from the calculation:
energy above the most stable polymorph in this dataset	0.523	eV/f.u.
magnetization	0.0	μB per formula unit
calculated density	8.13	g/cm3
SG	F-43m (216)
DFT formation energy	-0.1421	eV/atom

POSCAR file:
```
LiCd2Rh
1.0
4.588 0.000 0.000
2.294 3.974 0.000
2.294 1.325 3.748
Cd Li Rh
2 1 1
Direct
0.250 0.250 0.250 Cd
0.000 0.000 0.000 Cd
0.500 0.500 0.500 Li
0.750 0.750 0.750 Rh
```

No. 5
A geometry-optimized NaSm2Ga3Pt4 structure. Source: Alexandria via LeMat-Bulk, functional GGA-PBE.

Values from the calculation:
magnetization	0.0	μB per formula unit
calculated density	11.08	g/cm3
SG	P-4m2 (115)
DFT formation energy	-0.8273	eV/atom

POSCAR file:
```
NaSm2Ga3Pt4
1.0
-2.135 2.860 -2.005
-2.111 0.816 3.411
7.983 8.070 3.012
Pt Sm Ga Na
4 2 3 1
Direct
0.000 0.500 0.340 Pt
0.500 0.000 0.660 Pt
0.000 0.000 0.000 Pt
0.500 0.500 0.000 Pt
0.500 0.000 0.240 Sm
0.000 0.500 0.760 Sm
0.000 0.000 0.500 Ga
0.000 0.500 0.127 Ga
0.500 0.000 0.873 Ga
0.500 0.500 0.500 Na
```

No. 6
A geometry-optimized Tm5RhAu4 structure. Source: Alexandria via LeMat-Bulk, functional GGA-PBE.

Values from the calculation:
magnetization	0.0	μB per formula unit
calculated density	13.25	g/cm3
SG	P4/mmm (123)
DFT formation energy	-0.9020	eV/atom

POSCAR file:
```
Tm5RhAu4
1.0
3.511 0.000 0.000
0.000 3.511 0.000
0.000 0.000 17.651
Tm Au Rh
5 4 1
Direct
0.500 0.500 0.500 Tm
0.500 0.500 0.908 Tm
0.500 0.500 0.295 Tm
0.500 0.500 0.092 Tm
0.500 0.500 0.705 Tm
0.000 0.000 0.601 Au
0.000 0.000 0.194 Au
0.000 0.000 0.399 Au
0.000 0.000 0.806 Au
0.000 0.000 0.000 Rh
```

No. 7
A geometry-optimized ZrW structure. Source: Alexandria via LeMat-Bulk, functional GGA-PBE.

Values from the calculation:
magnetization	0.0	μB per formula unit
calculated density	6.69	g/cm3
SG	I-43m (217)
DFT formation energy	2.0803	eV/atom

POSCAR file:
```
ZrW
1.0
-6.782 1.217 -4.396
-4.552 -1.301 6.663
0.292 7.977 1.758
Zr W
8 8
Direct
0.210 0.790 0.790 Zr
0.790 0.210 0.790 Zr
0.790 0.790 0.210 Zr
0.710 0.710 0.710 Zr
0.290 0.710 0.290 Zr
0.210 0.210 0.210 Zr
0.710 0.290 0.290 Zr
0.290 0.290 0.710 Zr
0.887 0.887 0.887 W
0.387 0.387 0.387 W
0.613 0.387 0.613 W
0.387 0.613 0.613 W
0.113 0.113 0.887 W
0.613 0.613 0.387 W
0.887 0.113 0.113 W
0.113 0.887 0.113 W
```

No. 8
A geometry-optimized Pa2Ga4Cu3Ag structure. Source: Alexandria via LeMat-Bulk, functional GGA-PBE.

Values from the calculation:
magnetization	0.0	μB per formula unit
calculated density	9.73	g/cm3
SG	P-4m2 (115)
DFT formation energy	-0.2187	eV/atom

POSCAR file:
```
Pa2Ga4Cu3Ag
1.0
4.169 0.000 0.000
0.000 4.169 0.000
0.000 0.000 10.204
Ag Cu Ga Pa
1 3 4 2
Direct
0.500 0.500 0.500 Ag
0.000 0.000 0.500 Cu
0.500 0.000 0.873 Cu
0.000 0.500 0.127 Cu
0.000 0.000 0.000 Ga
0.500 0.000 0.644 Ga
0.000 0.500 0.356 Ga
0.500 0.500 0.000 Ga
0.500 0.000 0.243 Pa
0.000 0.500 0.757 Pa
```